Computed, not measured: an optimized crystal structure of Pu3Ga5Pd6 at the PBE level of DFT.

abc: 4.397 9.225 12.843
angles: 90.00 90.00 90.00
Site moments in Bohr magnetons follow the coordinates.
Element x y z (fractional)
Pu1 0.000 0.252 0.705  5.16
Pu2 0.500 0.748 0.205  5.16
Pu3 0.500 0.748 0.795  5.16
Pu4 0.000 0.241 0.000  5.33
Pu5 0.500 0.759 0.500  5.33
Pu6 0.000 0.252 0.295  5.16
Ga1 0.000 0.527 0.869  0.02
Ga2 0.000 0.900 0.661  0.00
Ga3 0.000 0.757 0.000  -0.03
Ga4 0.500 0.473 0.631  0.02
Ga5 0.500 0.243 0.500  -0.03
Ga6 0.000 0.527 0.131  0.02
Ga7 0.500 0.473 0.369  0.02
Ga8 0.000 0.900 0.339  0.00
Ga9 0.500 0.100 0.839  0.00
Ga10 0.500 0.100 0.161  0.00
Pd1 0.000 0.965 0.863  -0.01
Pd2 0.500 0.035 0.637  -0.01
Pd3 0.500 0.379 0.835  -0.02
Pd4 0.500 0.578 0.000  -0.02
Pd5 0.000 0.422 0.500  -0.02
Pd6 0.000 0.621 0.665  -0.02
Pd7 0.000 0.621 0.335  -0.02
Pd8 0.500 0.926 0.000  0.01
Pd9 0.000 0.965 0.137  -0.01
Pd10 0.500 0.379 0.165  -0.02
Pd11 0.000 0.074 0.500  0.01
Pd12 0.500 0.035 0.363  -0.01

Properties
- Symmetry: Pmmn, No. 59

=====

Computed, not measured: an optimized crystal structure of Pu3Ga8Pd4 at the PBE level of DFT.

abc: 9.210 9.210 9.210
angles: 60.00 60.00 60.00
Site moments in Bohr magnetons follow the coordinates.
Element x y z (fractional)
Pu1 0.717 0.717 0.283  5.32
Pu2 0.283 0.283 0.717  5.32
Pu3 0.717 0.283 0.283  5.32
Pu4 0.283 0.717 0.717  5.32
Pu5 0.717 0.283 0.717  5.32
Pu6 0.283 0.717 0.283  5.32
Ga1 0.635 0.122 0.122  0.02
Ga2 0.365 0.878 0.878  0.02
Ga3 0.122 0.122 0.635  0.02
Ga4 0.122 0.122 0.122  0.02
Ga5 0.878 0.878 0.365  0.02
Ga6 0.878 0.878 0.878  0.02
Ga7 0.122 0.635 0.122  0.02
Ga8 0.878 0.365 0.878  0.02
Ga9 0.004 0.332 0.332  -0.01
Ga10 0.996 0.668 0.668  -0.01
Ga11 0.332 0.332 0.004  -0.01
Ga12 0.332 0.332 0.332  -0.01
Ga13 0.668 0.668 0.996  -0.01
Ga14 0.668 0.668 0.668  -0.01
Ga15 0.332 0.004 0.332  -0.01
Ga16 0.668 0.996 0.668  -0.01
Pd1 0.000 0.000 0.000  0.01
Pd2 0.500 0.500 0.000  0.04
Pd3 0.000 0.000 0.500  0.04
Pd4 0.500 0.000 0.000  0.04
Pd5 0.000 0.500 0.500  0.04
Pd6 0.500 0.000 0.500  0.04
Pd7 0.000 0.500 0.000  0.04
Pd8 0.500 0.500 0.500  -0.09

Properties
- Symmetry: Fm-3m, No. 225

=====

Computed, not measured: an optimized crystal structure of Pu3Ga2Pd7 at the PBE level of DFT.

abc: 3.075 10.994 15.397
angles: 154.71 90.00 90.00
Site moments in Bohr magnetons follow the coordinates.
Element x y z (fractional)
Pu1 0.500 0.500 0.000  5.42
Pu2 0.000 0.052 0.241  5.34
Pu3 0.000 0.948 0.759  5.34
Ga1 0.500 0.621 0.832  0.01
Ga2 0.500 0.379 0.168  0.01
Pd1 0.500 0.082 0.430  0.03
Pd2 0.500 0.918 0.570  0.03
Pd3 0.000 0.693 0.281  0.01
Pd4 0.000 0.000 0.000  0.02
Pd5 0.000 0.307 0.719  0.01
Pd6 0.500 0.574 0.635  -0.01
Pd7 0.500 0.426 0.365  -0.01

Properties
- Symmetry: P2/m, No. 10

=====

Computed, not measured: an optimized crystal structure of Pu3Ga2Pd at the PBE level of DFT.

abc: 3.833 3.833 8.840
angles: 90.00 90.00 90.00
Site moments in Bohr magnetons follow the coordinates.
Element x y z (fractional)
Pu1 0.000 0.000 0.000  5.36
Pu2 0.000 0.000 0.663  5.35
Pu3 0.000 0.000 0.337  5.35
Ga1 0.500 0.500 0.825  -0.03
Ga2 0.500 0.500 0.175  -0.03
Pd1 0.500 0.500 0.500  -0.02

Properties
- Symmetry: P4/mmm, No. 123

=====

Computed, not measured: an optimized crystal structure of PuGa4Pd8 at the PBE level of DFT.

abc: 5.414 6.820 6.820
angles: 80.93 66.61 66.61
Site moments in Bohr magnetons follow the coordinates.
Element x y z (fractional)
Pu1 0.000 0.000 0.000  5.13
Ga1 0.000 0.000 0.500  -0.01
Ga2 0.500 0.000 0.500  -0.01
Ga3 0.000 0.500 0.000  -0.01
Ga4 0.500 0.500 0.000  -0.01
Pd1 0.000 0.336 0.664  -0.01
Pd2 0.000 0.664 0.336  -0.01
Pd3 0.336 0.664 0.664  -0.01
Pd4 0.664 0.336 0.336  -0.01
Pd5 0.500 0.777 0.223  -0.01
Pd6 0.500 0.223 0.777  -0.01
Pd7 0.277 0.223 0.223  -0.01
Pd8 0.723 0.777 0.777  -0.01

Properties
- Symmetry: I4/mmm, No. 139

=====

Computed, not measured: an optimized crystal structure of Pu3GaPd2 at the PBE level of DFT.

abc: 3.813 3.813 8.872
angles: 90.00 90.00 90.00
Site moments in Bohr magnetons follow the coordinates.
Element x y z (fractional)
Pu1 0.000 0.000 0.000  5.51
Pu2 0.000 0.000 0.667  5.42
Pu3 0.000 0.000 0.333  5.42
Ga1 0.500 0.500 0.500  -0.01
Pd1 0.500 0.500 0.832  0.02
Pd2 0.500 0.500 0.168  0.02

Properties
- Energy above the most stable polymorph in this dataset: 0.0 meV/atom
- Symmetry: P4/mmm, No. 123

=====

Energy relative to the elements for the records above, in order: -0.591, -0.498, -0.408, -0.349, -0.574, -0.389 eV/atom